(1)
Compound: LiAlS2O8
Source: the Alexandria database
Functional: PBE
Structure: relaxed

Values from the calculation:
total magnetic moment = 0.000 μB/atom
ΔE_f (raw) = -21.3 eV/f.u.

```
data_LiAlS2O8
_cell_length_a 4.776
_cell_length_b 4.776
_cell_length_c 7.092
_cell_angle_alpha 90.00
_cell_angle_beta 90.00
_cell_angle_gamma 120.00
_space_group_name_H-M_alt 'P 1'
_space_group_IT_number 1
loop_
_space_group_symop_operation_xyz
'x,y,z'
loop_
_atom_site_label
_atom_site_type_symbol
_atom_site_fract_x
_atom_site_fract_y
_atom_site_fract_z
Li1 Li 0.000 0.000 0.000
Al1 Al 0.000 0.000 0.500
S1 S 0.667 0.333 0.267
S2 S 0.333 0.667 0.733
O1 O 0.333 0.667 0.938
O2 O 0.346 0.272 0.338
O3 O 0.728 0.074 0.338
O4 O 0.667 0.333 0.062
O5 O 0.272 0.926 0.662
O6 O 0.654 0.728 0.662
O7 O 0.074 0.346 0.662
O8 O 0.926 0.654 0.338
```



(2)
Compound: LiAlSb2O
Source: the Alexandria database
Functional: PBE
Structure: relaxed

Values from the calculation:
total magnetic moment = 0.000 μB/atom
ΔE_f (raw) = -0.2 eV/f.u.

```
data_LiAlSb2O
_cell_length_a 5.342
_cell_length_b 3.341
_cell_length_c 5.342
_cell_angle_alpha 90.00
_cell_angle_beta 90.00
_cell_angle_gamma 90.00
_space_group_name_H-M_alt 'P 1'
_space_group_IT_number 1
loop_
_space_group_symop_operation_xyz
'x,y,z'
loop_
_atom_site_label
_atom_site_type_symbol
_atom_site_fract_x
_atom_site_fract_y
_atom_site_fract_z
Sb1 Sb 0.000 0.000 0.500
Sb2 Sb 0.500 0.000 0.000
Al1 Al 0.500 0.500 0.500
O1 O 0.000 0.500 0.000
Li1 Li 0.000 0.000 0.000
```